DFT (GGA-PBE) results for a relaxed KMgSbPt crystal.

a = 5.031 Å, b = 5.031 Å, c = 5.031 Å
α = 60.00°, β = 60.00°, γ = 60.00°
Atoms (fractional coordinates):
Pt  0.250  0.250  0.250
Mg  0.750  0.750  0.750
Sb  0.000  0.000  0.000
K  0.500  0.500  0.500

Output
Its space-group type is F-43m, No. 216.

DFT (GGA-PBE) results for a relaxed KMgSbPt crystal.

a = 4.957 Å, b = 4.957 Å, c = 4.957 Å
α = 60.00°, β = 60.00°, γ = 60.00°
Atoms (fractional coordinates):
Sb  0.250  0.250  0.250
Pt  0.500  0.500  0.500
K  0.000  0.000  0.000
Mg  0.750  0.750  0.750

Output
Its space-group type is F-43m, No. 216.

DFT (GGA-PBE) results for a relaxed KMgTaPt crystal.

a = 4.908 Å, b = 4.908 Å, c = 4.908 Å
α = 60.00°, β = 60.00°, γ = 60.00°
Atoms (fractional coordinates):
K  0.500  0.500  0.500
Ta  0.000  0.000  0.000
Pt  0.250  0.250  0.250
Mg  0.750  0.750  0.750

Output
Its space-group type is F-43m, No. 216.

DFT (GGA-PBE) results for a relaxed KMgTaPt crystal.

a = 4.757 Å, b = 4.757 Å, c = 4.757 Å
α = 60.00°, β = 60.00°, γ = 60.00°
Atoms (fractional coordinates):
K  0.000  0.000  0.000
Ta  0.250  0.250  0.250
Pt  0.500  0.500  0.500
Mg  0.750  0.750  0.750

Output
Its space-group type is F-43m, No. 216.

Computed values of energy relative to the lowest polymorph listed for this composition (unit: kJ/mol of formula units) for the preceding records, in sequence: 47; 0; 96; 0.
Computed values of volume (unit: Å³/atom) for the preceding records, in sequence: 22.5; 21.5; 20.9; 19.0.